(1)
TbPrSmLu: optimized geometry, PBE.

Values from the calculation:
theoretical density = 7855 kg/m³
energy of formation = 0.4 eV/f.u.
SG = F-43m (216)
VASP energy = -18.216 eV per cell
crystal system = cubic
Fermi-level density of states = 1.722 states/eV per atom

a b c (Å): 5.717 5.717 5.717
angles (deg): 60.00 60.00 60.00
Atoms (fractional coordinates):
Sm: 0.250 0.250 0.250
Pr: 0.750 0.750 0.750
Tb: 0.000 0.000 0.000
Lu: 0.500 0.500 0.500

(2)
PrSmLuTl: optimized geometry, PBE.

Values from the calculation:
theoretical density = 9202 kg/m³
energy of formation = -0.3 eV/f.u.
SG = F-43m (216)
VASP energy = -16.672 eV per cell
crystal system = cubic
Fermi-level density of states = 1.643 states/eV per atom

a b c (Å): 5.552 5.552 5.552
angles (deg): 60.00 60.00 60.00
Each line ends with the local moment (μB).
Atoms (fractional coordinates):
Sm: 0.750 0.750 0.750  0.13
Tl: 0.000 0.000 0.000  0.00
Lu: 0.500 0.500 0.500  0.18
Pr: 0.250 0.250 0.250  0.12

(3)
PrSmYLu: optimized geometry, PBE.

Values from the calculation:
theoretical density = 6958 kg/m³
energy of formation = 0.4 eV/f.u.
SG = F-43m (216)
VASP energy = -20.096 eV per cell
crystal system = cubic
Fermi-level density of states = 1.649 states/eV per atom

a b c (Å): 5.722 5.722 5.722
angles (deg): 60.00 60.00 60.00
Atoms (fractional coordinates):
Sm: 0.500 0.500 0.500
Pr: 0.000 0.000 0.000
Y: 0.750 0.750 0.750
Lu: 0.250 0.250 0.250

(4)
PrSmLuZn: optimized geometry, PBE.

Values from the calculation:
theoretical density = 7898 kg/m³
energy of formation = 0.0 eV/f.u.
SG = F-43m (216)
VASP energy = -15.270 eV per cell
crystal system = cubic
Fermi-level density of states = 1.094 states/eV per atom

a b c (Å): 5.407 5.407 5.407
angles (deg): 60.00 60.00 60.00
Atoms (fractional coordinates):
Sm: 0.750 0.750 0.750
Zn: 0.000 0.000 0.000
Pr: 0.250 0.250 0.250
Lu: 0.500 0.500 0.500

(5)
PrLuSn2: optimized geometry, PBE.

Values from the calculation:
theoretical density = 7818 kg/m³
polymorph energy (0 for the lowest one) = 0.122 eV per atom
energy of formation = -1.9 eV/f.u.
SG = R-3m (166)
VASP energy = -19.234 eV per cell
crystal system = trigonal
Fermi-level density of states = 0.457 states/eV per atom

a b c (Å): 3.817 3.817 9.570
angles (deg): 78.50 78.50 60.00
Atoms (fractional coordinates):
Sn: 0.246 0.246 0.262
Sn: 0.754 0.754 0.738
Lu: 0.500 0.500 0.500
Pr: 0.000 0.000 0.000

(6)
PrLuSn2: optimized geometry, PBE.

Values from the calculation:
theoretical density = 8459 kg/m³
polymorph energy (0 for the lowest one) = 0.005 eV per atom
energy of formation = -2.4 eV/f.u.
SG = P4/mmm (123)
VASP energy = -19.702 eV per cell
crystal system = tetragonal
Fermi-level density of states = 0.896 states/eV per atom

a b c (Å): 4.534 4.895 4.895
angles (deg): 90.00 90.00 90.00
Atoms (fractional coordinates):
Sn: 0.000 0.000 0.500
Lu: 0.500 0.000 0.000
Sn: 0.000 0.500 0.000
Pr: 0.500 0.500 0.500